[1]
Computed, not measured: an optimized crystal structure of Ce3HoPu2Te6 at the GGA-PBE level of DFT.

**Formation energy from raw total energies**: -1.260 eV/atom
**Total DFT energy (no corrections)**: -7.08 eV per atom
**Crystal system**: monoclinic
**Fermi-level density of states**: 80.4 states/eV per cell
**M_tot**: 8.6 μB per formula unit

a b c (Å): 7.6379 13.2306 7.7955
angles (deg): 90.00 109.07 90.00
Last column: nearest neighbours and their distance in Å.
Space group C2/m (No. 12)
Inequivalent atoms, fractional coordinates:
Ce 0.0000 0.0000 0.0000  6 Te 3.17-3.19
Ce 0.0000 0.3315 0.0000  6 Te 3.17-3.19
Ho 0.0000 0.5000 0.5000  6 Te 3.08-3.09
Pu 0.0000 0.1661 0.5000  6 Te 3.12
Te 0.2451 0.3351 0.7412  1 Ho 3.08, 2 Pu 3.12, 3 Ce 3.17-3.19
Te 0.2482 0.5000 0.2564  1 Ho 3.09, 2 Pu 3.12, 3 Ce 3.17-3.19

---

[2]
Computed, not measured: an optimized crystal structure of CeHoPuTh at the GGA-PBE level of DFT.

**Total DFT energy (no corrections)**: -7.82 eV per atom
**Crystal system**: cubic
**Formation energy**: 0.2503 eV/atom
**Fermi-level density of states**: 50.0 states/eV per cell
**M_tot**: 9.2 μB per formula unit

a b c (Å): 7.8447 7.8447 7.8447
angles (deg): 90.00 90.00 90.00
Last column: nearest neighbours and their distance in Å.
Space group F-43m (No. 216)
Inequivalent atoms, fractional coordinates:
Ce 0.0000 0.0000 0.0000  4 Th 3.40, 4 Ho 3.40
Ho 0.2500 0.2500 0.2500  4 Ce 3.40, 4 Pu 3.40
Pu 0.0000 0.0000 0.5000  4 Ho 3.40, 4 Th 3.40
Th 0.2500 0.2500 0.7500  4 Pu 3.40, 4 Ce 3.40

---

[3]
Computed, not measured: an optimized crystal structure of CeHoTmPu at the GGA-PBE level of DFT.

**Total DFT energy (no corrections)**: -7.15 eV per atom
**Crystal system**: cubic
**Formation energy**: 0.1805 eV/atom
**Fermi-level density of states**: 37.0 states/eV per cell
**M_tot**: 8.5 μB per formula unit

a b c (Å): 7.7817 7.7817 7.7817
angles (deg): 90.00 90.00 90.00
Last column: nearest neighbours and their distance in Å.
Space group F-43m (No. 216)
Inequivalent atoms, fractional coordinates:
Ce 0.0000 0.0000 0.0000  4 Ho 3.37, 4 Pu 3.37
Ho 0.2500 0.2500 0.2500  4 Ce 3.37, 4 Tm 3.37
Tm 0.0000 0.0000 0.5000  4 Ho 3.37, 4 Pu 3.37
Pu 0.2500 0.2500 0.7500  4 Ce 3.37, 4 Tm 3.37